Entry 1:
Below is a relaxed MnCoGe2 crystal, with properties calculated at the PBE-GGA level.

Calculated values
uncorrected energy = -25.5 eV/cell
formation energy = 0.007 eV/atom
SG = Fm-3m (225)
excess energy over the best structure of this formula in the dataset = 25 meV per atom
crystal system = cubic

Structure (POSCAR):
```
MnCoGe2
1.0
1.075 -3.953 0.376
-1.791 -2.853 -2.363
2.148 -1.841 -2.987
Mn Ge Co
1 2 1
Direct
0.000 0.000 0.000
0.250 0.250 0.250
0.750 0.750 0.750
0.500 0.500 0.500
```

Entry 2:
Below is a relaxed MnCoGe2 crystal, with properties calculated at the PBE-GGA level.

Calculated values
uncorrected energy = -24.7 eV/cell
formation energy = 0.198 eV/atom
SG = R-3m (166)
excess energy over the best structure of this formula in the dataset = 216 meV per atom
crystal system = trigonal

Structure (POSCAR):
```
MnCoGe2
1.0
-2.583 -0.360 -1.225
-0.422 -2.153 -1.868
-3.323 -5.928 5.361
Ge Mn Co
2 1 1
Direct
0.904 0.904 0.289
0.096 0.096 0.711
0.000 0.000 0.000
0.500 0.500 0.500
```

Entry 3:
Below is a relaxed MnCo5Ge3 crystal, with properties calculated at the PBE-GGA level.

Calculated values
uncorrected energy = -119.4 eV/cell
formation energy = -0.127 eV/atom
SG = P6_3/mcm (193)
excess energy over the best structure of this formula in the dataset = 0 meV per atom
crystal system = hexagonal

Structure (POSCAR):
```
MnCo5Ge3
1.0
5.049 0.000 0.000
0.000 6.036 -3.485
0.000 0.000 6.969
Co Mn Ge
10 2 6
Direct
0.250 0.000 0.675
0.000 0.333 0.667
0.000 0.667 0.333
0.500 0.333 0.667
0.750 0.675 0.675
0.500 0.667 0.333
0.250 0.675 0.000
0.750 0.000 0.325
0.250 0.325 0.325
0.750 0.325 0.000
0.000 0.000 0.000
0.500 0.000 0.000
0.750 0.655 0.000
0.250 0.655 0.655
0.750 0.345 0.345
0.250 0.000 0.345
0.750 0.000 0.655
0.250 0.345 0.000
```

Entry 4:
Below is a relaxed MnCoGe2 crystal, with properties calculated at the PBE-GGA level.

Calculated values
uncorrected energy = -49.0 eV/cell
formation energy = 0.259 eV/atom
SG = I-42d (122)
excess energy over the best structure of this formula in the dataset = 276 meV per atom
crystal system = tetragonal

Structure (POSCAR):
```
MnCoGe2
1.0
6.728 0.000 0.000
0.000 6.728 0.000
3.364 3.364 2.669
Mn Co Ge
2 2 4
Direct
0.500 0.500 0.000
0.250 0.750 0.500
0.000 0.000 0.000
0.750 0.250 0.500
0.375 0.346 0.750
0.654 0.125 0.250
0.875 0.904 0.750
0.096 0.625 0.250
```

Entry 5:
Below is a relaxed Mn2CoGe crystal, with properties calculated at the PBE-GGA level.

Calculated values
uncorrected energy = -30.4 eV/cell
formation energy = -0.094 eV/atom
SG = P4/mmm (123)
crystal system = tetragonal

Structure (POSCAR):
```
Mn2CoGe
1.0
-1.400 -2.328 -2.463
0.416 -2.739 2.353
-3.334 0.619 1.310
Co Ge Mn
1 1 2
Direct
0.500 0.500 0.500
0.500 0.000 0.000
0.000 0.500 0.000
0.000 0.000 0.500
```

Entry 6:
Below is a relaxed Mn6Co5Ge crystal, with properties calculated at the PBE-GGA level.

Calculated values
uncorrected energy = -95.7 eV/cell
formation energy = -0.042 eV/atom
SG = Cmmm (65)
crystal system = orthorhombic

Structure (POSCAR):
```
Mn6Co5Ge
1.0
3.996 0.002 -0.834
-0.003 5.785 -0.001
-0.747 0.000 6.413
Mn Co Ge
6 5 1
Direct
0.500 0.257 0.000
0.830 0.746 0.661
0.500 0.743 0.000
0.170 0.254 0.339
0.830 0.254 0.661
0.170 0.746 0.339
0.334 0.500 0.668
0.666 0.500 0.332
0.000 0.500 0.000
0.666 0.000 0.332
0.334 0.000 0.668
0.000 0.000 0.000
```

Entry 7:
Below is a relaxed MnCo3Ge2 crystal, with properties calculated at the PBE-GGA level.

Calculated values
uncorrected energy = -81.7 eV/cell
formation energy = -0.185 eV/atom
SG = P-3m1 (164)
crystal system = trigonal

Structure (POSCAR):
```
MnCo3Ge2
1.0
-3.466 1.339 1.638
-0.080 -2.158 -3.440
-0.757 -8.529 5.368
Co Ge Mn
6 4 2
Direct
0.000 0.000 0.752
0.000 0.000 0.248
0.667 0.333 0.579
0.667 0.333 0.078
0.333 0.667 0.922
0.333 0.667 0.421
0.000 0.000 0.000
0.333 0.667 0.182
0.000 0.000 0.500
0.667 0.333 0.818
0.333 0.667 0.667
0.667 0.333 0.333
```

Entry 8:
Below is a relaxed MnCo3Ge crystal, with properties calculated at the PBE-GGA level.

Calculated values
uncorrected energy = -29.5 eV/cell
formation energy = 1.126 eV/atom
SG = Pm-3m (221)
excess energy over the best structure of this formula in the dataset = 1073 meV per atom
crystal system = cubic

Structure (POSCAR):
```
MnCo3Ge
1.0
-3.910 0.908 -1.161
-1.392 -1.193 3.755
0.484 3.901 1.419
Co Ge Mn
3 1 1
Direct
0.000 0.000 0.500
0.000 0.500 0.000
0.500 0.000 0.000
0.500 0.500 0.500
0.000 0.000 0.000
```